Here is a geometry-optimized HoScPd6 structure from Alexandria via LeMat-Bulk. Energies are from PBE.

Output
magnetic moment: 0.0 μB per formula unit
density of states at the Fermi level: 6.8 states/eV/f.u.
crystal system: tetragonal
final energy: -6.12 eV/atom

abc: 4.067 4.067 8.103
angles: 90.00 90.00 90.00
Space group P4/mmm (No. 123)
One atom of each set of equivalent atoms:
1 Ho 0.000 0.000 0.000 x1
2 Sc 0.000 0.000 0.500 x1
3 Pd 0.000 0.500 0.258 x4
4 Pd 0.500 0.500 0.000 x1
5 Pd 0.500 0.500 0.500 x1